Density functional theory data (PBE) for a relaxed MgNb2HPt crystal.

Lattice parameters (Å, degrees): 4.0097 4.0097 4.4547 90.00 90.00 90.00
Sites, in units of the cell vectors:
Mg (0.0000, 0.0000, 0.0000)
Nb (0.0000, 0.5000, 0.5000)
Nb (0.5000, 0.0000, 0.5000)
H (0.0000, 0.0000, 0.5000)
Pt (0.5000, 0.5000, 0.0000)

Density functional theory data (PBE) for a relaxed MgNb2SnH crystal.

Lattice parameters (Å, degrees): 4.1573 4.1573 4.5569 90.00 90.00 90.00
Sites, in units of the cell vectors:
Mg (0.0000, 0.0000, 0.0000)
Nb (0.0000, 0.5000, 0.5000)
Nb (0.5000, 0.0000, 0.5000)
Sn (0.5000, 0.5000, 0.0000)
H (0.0000, 0.0000, 0.5000)

Density functional theory data (PBE) for a relaxed MgTaNb2H crystal.

Lattice parameters (Å, degrees): 4.3438 4.3438 4.0026 90.00 90.00 90.00
Sites, in units of the cell vectors:
Mg (0.0000, 0.0000, 0.0000)
Ta (0.5000, 0.5000, 0.0000)
Nb (0.0000, 0.5000, 0.5000)
Nb (0.5000, 0.0000, 0.5000)
H (0.5000, 0.5000, 0.5000)

Density functional theory data (PBE) for a relaxed MgTi2NbH crystal.

Lattice parameters (Å, degrees): 4.1866 4.1866 4.1459 90.00 90.00 90.00
Sites, in units of the cell vectors:
Mg (0.0000, 0.0000, 0.0000)
Ti (0.0000, 0.5000, 0.5000)
Ti (0.5000, 0.0000, 0.5000)
Nb (0.5000, 0.5000, 0.0000)
H (0.0000, 0.0000, 0.5000)

Density functional theory data (PBE) for a relaxed MgTi2NbH crystal.

Lattice parameters (Å, degrees): 4.2397 4.2397 4.0824 90.00 90.00 90.00
Sites, in units of the cell vectors:
Mg (0.0000, 0.0000, 0.0000)
Ti (0.0000, 0.5000, 0.5000)
Ti (0.5000, 0.0000, 0.5000)
Nb (0.5000, 0.5000, 0.0000)
H (0.5000, 0.5000, 0.5000)

Density functional theory data (PBE) for a relaxed MgZrNb2H crystal.

Lattice parameters (Å, degrees): 4.1696 4.1696 4.6496 90.00 90.00 90.00
Sites, in units of the cell vectors:
Mg (0.0000, 0.0000, 0.0000)
Zr (0.5000, 0.5000, 0.0000)
Nb (0.0000, 0.5000, 0.5000)
Nb (0.5000, 0.0000, 0.5000)
H (0.5000, 0.5000, 0.5000)

no.,VASP energy (eV per atom),total moment (μB per atom)
1,-6.495,0.00
2,-5.865,0.00
3,-7.288,0.00
4,-6.138,0.00
5,-6.201,0.00
6,-6.728,0.00